No. 1
# CePmEu

An optimized crystal structure of CePmEu (PBE, the Alexandria database).

Values from the calculation:
The calculated density is 7.0 g/cm³. Its density of states at the Fermi level is 6.2 states/eV/f.u. The formation energy is 0.12 eV per atom. The total magnetic moment is 2.8406 μB/atom.

a b c (Å): 3.636 3.636 9.062
angles (deg): 90.00 90.00 120.00
Each line ends with the local moment (μB).
Fractional positions:
Eu 0.000 0.000 0.005  7.01
Ce 0.667 0.333 0.342  0.81
Pm 0.333 0.667 0.654  -0.01


No. 2
# CePmEuSc

An optimized crystal structure of CePmEuSc (PBE, the Alexandria database).

Values from the calculation:
The calculated density is 6.2 g/cm³. Its density of states at the Fermi level is 10.0 states/eV/f.u. The formation energy is 0.25 eV per atom. The total magnetic moment is 2.2210 μB/atom.

a b c (Å): 5.672 5.672 5.672
angles (deg): 60.00 60.00 60.00
Each line ends with the local moment (μB).
Fractional positions:
Pm 0.500 0.500 0.500  0.14
Eu 0.250 0.250 0.250  6.87
Sc 0.000 0.000 0.000  0.16
Ce 0.750 0.750 0.750  0.92


No. 3
# CePmSmEu

An optimized crystal structure of CePmSmEu (PBE, the Alexandria database).

Values from the calculation:
The calculated density is 7.0 g/cm³. Its density of states at the Fermi level is 11.5 states/eV/f.u. The formation energy is 0.23 eV per atom. The total magnetic moment is 2.3517 μB/atom.

a b c (Å): 5.833 5.833 5.833
angles (deg): 60.00 60.00 60.00
Each line ends with the local moment (μB).
Fractional positions:
Pm 0.750 0.750 0.750  0.21
Sm 0.250 0.250 0.250  0.19
Ce 0.500 0.500 0.500  1.05
Eu 0.000 0.000 0.000  6.90


No. 4
# CePmEuTl

An optimized crystal structure of CePmEuTl (PBE, the Alexandria database).

Values from the calculation:
The calculated density is 8.5 g/cm³. Its density of states at the Fermi level is 8.7 states/eV/f.u. The formation energy is 0.02 eV per atom. The total magnetic moment is 2.4518 μB/atom.

a b c (Å): 5.622 5.622 5.622
angles (deg): 60.00 60.00 60.00
Each line ends with the local moment (μB).
Fractional positions:
Tl 0.500 0.500 0.500  0.03
Eu 0.750 0.750 0.750  -6.96
Pm 0.000 0.000 0.000  -0.56
Ce 0.250 0.250 0.250  -1.13


No. 5
# CePmEuTm

An optimized crystal structure of CePmEuTm (PBE, the Alexandria database).

Values from the calculation:
The calculated density is 7.4 g/cm³. Its density of states at the Fermi level is 9.7 states/eV/f.u. The formation energy is 0.23 eV per atom. The total magnetic moment is 2.3017 μB/atom.

a b c (Å): 5.775 5.775 5.775
angles (deg): 60.00 60.00 60.00
Each line ends with the local moment (μB).
Fractional positions:
Eu 0.750 0.750 0.750  -6.90
Pm 0.500 0.500 0.500  -0.19
Ce 0.250 0.250 0.250  -1.01
Tm 0.000 0.000 0.000  -0.22


No. 6
# CePmEuY

An optimized crystal structure of CePmEuY (PBE, the Alexandria database).

Values from the calculation:
The calculated density is 6.3 g/cm³. Its density of states at the Fermi level is 10.1 states/eV/f.u. The formation energy is 0.22 eV per atom. The total magnetic moment is 2.3891 μB/atom.

a b c (Å): 5.815 5.815 5.815
angles (deg): 60.00 60.00 60.00
Each line ends with the local moment (μB).
Fractional positions:
Eu 0.500 0.500 0.500  6.90
Pm 0.000 0.000 0.000  0.24
Y 0.750 0.750 0.750  0.20
Ce 0.250 0.250 0.250  1.10


No. 7
# CePrEu2

An optimized crystal structure of CePrEu2 (PBE, the Alexandria database).

Values from the calculation:
The calculated density is 6.6 g/cm³. Its density of states at the Fermi level is 8.0 states/eV/f.u. The distance to the lowest polymorph of the same formula comes out at 27.1 kJ/mol of formula units. The formation energy is 0.24 eV per atom. The total magnetic moment is 4.1196 μB/atom.

a b c (Å): 3.601 3.601 13.221
angles (deg): 82.17 82.17 60.00
Each line ends with the local moment (μB).
Fractional positions:
Eu 0.914 0.914 0.257  7.01
Eu 0.086 0.086 0.743  7.01
Ce 0.000 0.000 0.000  1.14
Pr 0.500 0.500 0.500  0.01


No. 8
# CePrEu2

An optimized crystal structure of CePrEu2 (PBE, the Alexandria database).

Values from the calculation:
The calculated density is 6.5 g/cm³. Its density of states at the Fermi level is 9.1 states/eV/f.u. The distance to the lowest polymorph of the same formula comes out at 16.2 kJ/mol of formula units. The formation energy is 0.21 eV per atom. The total magnetic moment is 4.0457 μB/atom.

a b c (Å): 4.041 6.070 6.070
angles (deg): 90.00 90.00 90.00
Each line ends with the local moment (μB).
Fractional positions:
Eu 0.000 0.000 0.500  6.89
Eu 0.000 0.500 0.000  6.89
Pr 0.500 0.000 0.000  0.09
Ce 0.500 0.500 0.500  1.13


No. 9
# CePrEu

An optimized crystal structure of CePrEu (PBE, the Alexandria database).

Values from the calculation:
The calculated density is 6.8 g/cm³. Its density of states at the Fermi level is 6.4 states/eV/f.u. The distance to the lowest polymorph of the same formula comes out at 1.2 kJ/mol of formula units. The formation energy is 0.12 eV per atom. The total magnetic moment is 2.8538 μB/atom.

a b c (Å): 3.661 3.661 9.126
angles (deg): 90.00 90.00 120.00
Each line ends with the local moment (μB).
Fractional positions:
Ce 0.333 0.667 0.660  0.83
Pr 0.667 0.333 0.346  -0.01
Eu 0.000 0.000 0.994  7.01


No. 10
# CePrEu2

An optimized crystal structure of CePrEu2 (PBE, the Alexandria database).

Values from the calculation:
The calculated density is 6.5 g/cm³. Its density of states at the Fermi level is 9.0 states/eV/f.u. The distance to the lowest polymorph of the same formula comes out at 16.5 kJ/mol of formula units. The formation energy is 0.21 eV per atom. The total magnetic moment is 4.0175 μB/atom.

a b c (Å): 5.955 5.955 5.955
angles (deg): 60.00 60.00 60.00
Each line ends with the local moment (μB).
Fractional positions:
Pr 0.500 0.500 0.500  0.11
Eu 0.250 0.250 0.250  6.88
Eu 0.750 0.750 0.750  6.88
Ce 0.000 0.000 0.000  1.09


No. 11
# Ce2PrEu

An optimized crystal structure of Ce2PrEu (PBE, the Alexandria database).

Values from the calculation:
The calculated density is 7.2 g/cm³. Its density of states at the Fermi level is 10.9 states/eV/f.u. The distance to the lowest polymorph of the same formula comes out at 0.0 kJ/mol of formula units. The formation energy is 0.25 eV per atom. The total magnetic moment is 1.3642 μB/atom.

a b c (Å): 3.473 3.473 12.807
angles (deg): 82.21 82.21 60.00
Each line ends with the local moment (μB).
Fractional positions:
Eu 0.000 0.000 0.000  7.03
Ce 0.088 0.088 0.737  -0.79
Ce 0.912 0.912 0.263  -0.79
Pr 0.500 0.500 0.500  0.01


No. 12
# CePrEu2

An optimized crystal structure of CePrEu2 (PBE, the Alexandria database).

Values from the calculation:
The calculated density is 6.6 g/cm³. Its density of states at the Fermi level is 9.0 states/eV/f.u. The distance to the lowest polymorph of the same formula comes out at 0.0 kJ/mol of formula units. The formation energy is 0.17 eV per atom. The total magnetic moment is 4.0949 μB/atom.

a b c (Å): 3.721 3.721 10.644
angles (deg): 90.00 90.00 90.00
Each line ends with the local moment (μB).
Fractional positions:
Eu 0.000 0.000 0.255  6.92
Eu 0.000 0.000 0.745  6.92
Pr 0.500 0.500 0.000  0.01
Ce 0.500 0.500 0.500  1.19


No. 13
# Ce2PrEu

An optimized crystal structure of Ce2PrEu (PBE, the Alexandria database).

Values from the calculation:
The calculated density is 7.0 g/cm³. Its density of states at the Fermi level is 12.2 states/eV/f.u. The distance to the lowest polymorph of the same formula comes out at 12.5 kJ/mol of formula units. The formation energy is 0.28 eV per atom. The total magnetic moment is 2.2628 μB/atom.

a b c (Å): 4.337 4.337 7.190
angles (deg): 90.00 90.00 90.00
Each line ends with the local moment (μB).
Fractional positions:
Ce 0.000 0.000 0.799  0.65
Ce 0.000 0.000 0.201  0.65
Eu 0.500 0.500 0.500  6.89
Pr 0.500 0.500 0.000  0.10


No. 14
# CePrEu

An optimized crystal structure of CePrEu (PBE, the Alexandria database).

Values from the calculation:
The calculated density is 6.8 g/cm³. Its density of states at the Fermi level is 6.0 states/eV/f.u. The distance to the lowest polymorph of the same formula comes out at 0.0 kJ/mol of formula units. The formation energy is 0.11 eV per atom. The total magnetic moment is 2.8103 μB/atom.

a b c (Å): 3.651 3.651 8.359
angles (deg): 102.61 102.61 90.00
Each line ends with the local moment (μB).
Fractional positions:
Eu 0.995 0.995 0.991  7.01
Ce 0.328 0.328 0.657  0.81
Pr 0.676 0.676 0.352  -0.08


No. 15
# CePrEuSc

An optimized crystal structure of CePrEuSc (PBE, the Alexandria database).

Values from the calculation:
The calculated density is 6.0 g/cm³. Its density of states at the Fermi level is 11.9 states/eV/f.u. The formation energy is 0.27 eV per atom. The total magnetic moment is 1.3755 μB/atom.

a b c (Å): 5.706 5.706 5.706
angles (deg): 60.00 60.00 60.00
Each line ends with the local moment (μB).
Fractional positions:
Sc 0.000 0.000 0.000  0.13
Ce 0.750 0.750 0.750  0.93
Pr 0.500 0.500 0.500  0.06
Eu 0.250 0.250 0.250  -6.81